Entry from Alexandria: a relaxed Nd3Er5In crystal (PBE).

## Properties
DFT formation energy = 0.285 eV per atom
VASP energy = -37.3 eV per formula unit
DOS at the Fermi energy = 25.37 states/eV per cell
Space-group type = C2/m
Total moment = 0.000 μB per formula unit

Structure (CIF):
```
data_Nd3Er5In
_space_group_name_H-M_alt 'P 1'
_space_group_IT_number 1
_cell_length_a 7.291
_cell_length_b 7.291
_cell_length_c 12.495
_cell_angle_alpha 95.04
_cell_angle_beta 95.04
_cell_angle_gamma 71.17
loop_
_space_group_symop_operation_xyz
'x,y,z'
loop_
_atom_site_label
_atom_site_type_symbol
_atom_site_fract_x
_atom_site_fract_y
_atom_site_fract_z
Nd1 Nd 0.949 0.949 0.745
Nd2 Nd 0.662 0.662 0.545
Nd3 Nd 0.000 0.000 0.000
Nd4 Nd 0.000 0.000 0.500
Nd5 Nd 0.051 0.051 0.255
Nd6 Nd 0.338 0.338 0.455
Er1 Er 0.098 0.488 0.196
Er2 Er 0.326 0.674 0.000
Er3 Er 0.747 0.747 0.049
Er4 Er 0.547 0.547 0.253
Er5 Er 0.453 0.453 0.747
Er6 Er 0.253 0.253 0.951
Er7 Er 0.488 0.098 0.196
Er8 Er 0.674 0.326 0.000
Er9 Er 0.902 0.512 0.804
Er10 Er 0.512 0.902 0.804
In1 In 0.203 0.203 0.672
In2 In 0.797 0.797 0.328
```